#i
TlPb2: relaxed, PBEsol.

Values from the calculation:
The density is 11.78 Mg/m³.

Structure (POSCAR):
```
TlPb2
1.0
1.719 -8.976 0.000
1.719 8.976 0.000
0.000 0.000 5.652
Tl Pb
2 4
Cartesian
1.719 6.961 4.239
1.719 -6.961 1.413
1.719 5.041 1.413
1.719 0.948 4.239
1.719 -0.948 1.413
1.719 -5.041 4.239
```


#ii
TlPb2: relaxed, PBEsol.

Values from the calculation:
The density is 11.76 Mg/m³.

Structure (POSCAR):
```
TlPb2
1.0
3.428 0.000 0.000
0.043 6.870 0.000
1.705 1.678 7.420
Tl Pb
2 4
Cartesian
0.869 2.578 1.236
4.306 5.970 6.183
0.893 6.005 1.242
2.566 0.839 3.710
2.588 4.274 3.710
4.282 2.543 6.178
```


#ii (2.0 kJ/mol of atoms below the next structure)


#i
Tl5Pb: relaxed, PBEsol.

Values from the calculation:
The density is 12.06 Mg/m³.

Structure (POSCAR):
```
Tl5Pb
1.0
2.474 -7.019 0.000
2.474 7.019 0.000
0.000 0.000 4.872
Tl Pb
5 1
Cartesian
0.000 0.000 0.000
2.474 4.687 2.436
2.474 2.344 0.000
2.474 -2.344 0.000
2.474 -4.687 2.436
2.474 0.000 2.436
```


#ii
Tl5Pb: relaxed, PBEsol.

Values from the calculation:
The density is 12.03 Mg/m³.

Structure (POSCAR):
```
Tl5Pb
1.0
3.421 0.000 0.000
0.000 3.421 0.000
0.000 0.000 14.498
Tl Pb
5 1
Cartesian
0.000 0.000 0.000
0.000 0.000 4.819
0.000 0.000 9.679
1.711 1.711 2.411
1.711 1.711 12.087
1.711 1.711 7.249
```


#ii (0.5 kJ/mol of atoms below the next structure)


#i
Tl2Pb: relaxed, PBEsol.

Values from the calculation:
The density is 11.90 Mg/m³.

Structure (POSCAR):
```
Tl2Pb
1.0
7.248 -1.752 0.000
7.248 1.752 0.000
-1.679 0.000 6.772
Tl Pb
4 2
Cartesian
0.000 0.000 0.000
-0.839 0.000 3.386
3.734 0.000 4.498
9.083 0.000 2.273
4.528 0.000 1.125
8.290 0.000 5.647
```


#ii
Tl2Pb: relaxed, PBEsol.

Values from the calculation:
The density is 11.88 Mg/m³.

Structure (POSCAR):
```
Tl2Pb
1.0
5.440 0.000 0.000
-2.720 4.711 0.000
0.000 0.000 3.360
Tl Pb
2 1
Cartesian
0.000 3.141 0.522
2.720 1.570 2.838
0.000 0.000 1.680
```


#iii
Tl2Pb: relaxed, PBEsol.

Values from the calculation:
The density is 11.86 Mg/m³.

Structure (POSCAR):
```
Tl2Pb
1.0
5.528 0.000 0.000
-2.764 4.788 0.000
0.000 0.000 6.518
Tl Pb
4 2
Cartesian
0.000 0.000 0.000
0.000 0.000 3.259
0.000 3.192 1.629
2.764 1.596 4.888
0.000 3.192 4.888
2.764 1.596 1.629
```


#iv
Tl2Pb: relaxed, PBEsol.

Values from the calculation:
The density is 11.23 Mg/m³.

Structure (POSCAR):
```
Tl2Pb
1.0
0.000 7.143 7.143
7.143 0.000 7.143
7.143 7.143 0.000
Tl Pb
16 8
Cartesian
0.000 0.000 0.000
3.571 3.571 0.000
3.571 0.000 3.571
5.357 5.357 2.670
5.357 2.670 5.357
8.044 5.357 5.357
8.929 8.929 6.242
8.929 6.242 8.929
11.616 8.929 8.929
0.000 3.571 3.571
2.670 5.357 5.357
5.357 8.044 5.357
5.357 5.357 8.044
6.242 8.929 8.929
8.929 11.616 8.929
8.929 8.929 11.616
11.208 6.650 6.650
3.078 3.078 3.078
7.636 7.636 3.078
7.636 3.078 7.636
6.650 11.208 6.650
6.650 6.650 11.208
11.208 11.208 11.208
3.078 7.636 7.636
```


#i (1.4 kJ/mol of atoms below the next structure)


#i
TlPb2W: relaxed, PBEsol.

Values from the calculation:
The density is 13.61 Mg/m³.

Structure (POSCAR):
```
TlPb2W
1.0
3.041 0.000 0.000
0.000 3.041 0.000
0.000 0.000 10.590
Tl Pb W
1 2 1
Cartesian
0.000 0.000 0.000
0.000 0.000 4.395
1.521 1.521 7.679
1.521 1.521 2.198
```


#ii
TlPb2W: relaxed, PBEsol.

Values from the calculation:
The density is 13.82 Mg/m³.

Structure (POSCAR):
```
TlPb2W
1.0
0.000 3.640 3.640
3.640 0.000 3.640
3.640 3.640 0.000
Tl Pb W
1 2 1
Cartesian
0.000 0.000 0.000
1.820 1.820 1.820
5.459 5.459 5.459
3.640 3.640 3.640
```


#iii
TlPb2W: relaxed, PBEsol.

Values from the calculation:
The density is 14.20 Mg/m³.

Structure (POSCAR):
```
TlPb2W
1.0
5.487 0.000 0.000
0.000 5.487 0.000
0.000 0.000 3.119
Tl Pb W
1 2 1
Cartesian
0.000 0.000 0.000
0.000 2.743 1.559
2.743 0.000 1.559
2.743 2.743 0.000
```


#i (23.3 kJ/mol of atoms below the next structure)


#i
TlPb2W: relaxed, PBEsol.

Values from the calculation:
The density is 14.51 Mg/m³.

Structure (POSCAR):
```
TlPb2W
1.0
5.106 0.000 0.000
0.000 5.106 0.000
0.000 0.000 3.524
Tl Pb W
1 2 1
Cartesian
0.000 0.000 0.000
0.000 2.553 1.762
2.553 0.000 1.762
2.553 2.553 0.000
```


#ii
TlPb2W: relaxed, PBEsol.

Values from the calculation:
The density is 12.96 Mg/m³.

Structure (POSCAR):
```
TlPb2W
1.0
-1.523 2.408 7.009
1.523 -2.408 7.009
1.523 2.408 -7.009
Tl Pb W
1 2 1
Cartesian
0.000 0.000 0.000
0.000 0.000 5.205
0.000 2.408 2.576
1.523 0.000 2.632
```


#ii (32.6 kJ/mol of atoms below the next structure)


#i
TlPbW2: relaxed, PBEsol.

Values from the calculation:
The density is 15.46 Mg/m³.

Structure (POSCAR):
```
TlPbW2
1.0
3.009 0.000 0.000
0.000 4.377 0.000
0.000 0.000 6.352
Tl Pb W
1 1 2
Cartesian
0.000 0.000 0.000
0.000 0.000 3.176
1.505 2.189 1.204
1.505 2.189 5.148
```


#ii
TlPbW2: relaxed, PBEsol.

Values from the calculation:
The density is 15.85 Mg/m³.

Structure (POSCAR):
```
TlPbW2
1.0
5.208 -1.628 0.000
5.208 1.628 0.000
-1.913 0.000 4.814
Tl Pb W
1 1 2
Cartesian
0.000 0.000 0.000
7.492 0.000 1.725
0.859 0.000 3.950
4.745 0.000 2.624
```


#ii (32.0 kJ/mol of atoms below the next structure)


#i
Zr2TlPb: relaxed, PBEsol.

Values from the calculation:
The density is 10.10 Mg/m³.

Structure (POSCAR):
```
Zr2TlPb
1.0
3.182 0.000 0.000
0.000 3.182 0.000
0.000 0.000 9.648
Zr Tl Pb
2 1 1
Cartesian
0.000 0.000 0.000
1.591 1.591 2.153
1.591 1.591 7.318
0.000 0.000 4.578
```


#ii
Zr2TlPb: relaxed, PBEsol.

Values from the calculation:
The density is 10.81 Mg/m³.

Structure (POSCAR):
```
Zr2TlPb
1.0
5.821 -1.652 0.000
5.821 1.652 0.000
-2.144 0.000 4.746
Zr Tl Pb
2 1 1
Cartesian
0.000 0.000 0.000
7.853 0.000 1.780
4.672 0.000 2.303
1.016 0.000 4.188
```


#ii (12.6 kJ/mol of atoms below the next structure)


#i
Zr2TlPb: relaxed, PBEsol.

Values from the calculation:
The density is 10.98 Mg/m³.

Structure (POSCAR):
```
Zr2TlPb
1.0
0.000 3.555 3.555
3.555 0.000 3.555
3.555 3.555 0.000
Zr Tl Pb
2 1 1
Cartesian
1.777 1.777 1.777
5.332 5.332 5.332
0.000 0.000 0.000
3.555 3.555 3.555
```


#ii
Zr2TlPb: relaxed, PBEsol.

Values from the calculation:
The density is 11.08 Mg/m³.

Structure (POSCAR):
```
Zr2TlPb
1.0
-2.272 2.272 4.310
2.272 -2.272 4.310
2.272 2.272 -4.310
Zr Tl Pb
2 1 1
Cartesian
2.272 0.000 2.155
0.000 2.272 2.155
0.000 0.000 0.000
0.000 0.000 4.310
```


#iii
Zr2TlPb: relaxed, PBEsol.

Values from the calculation:
The density is 10.90 Mg/m³.

Structure (POSCAR):
```
Zr2TlPb
1.0
-2.134 2.134 4.968
2.134 -2.134 4.968
2.134 2.134 -4.968
Zr Tl Pb
2 1 1
Cartesian
0.000 0.000 0.000
0.000 2.134 2.484
0.000 0.000 4.968
2.134 0.000 2.484
```


#ii (0.5 kJ/mol of atoms below the next structure)


#i
RbScPd3: relaxed, PBEsol.

Values from the calculation:
The density is 6.27 Mg/m³.

Structure (POSCAR):
```
RbScPd3
1.0
4.919 0.000 0.000
0.000 4.919 0.000
0.000 0.000 4.919
Rb Sc Pd
1 1 3
Cartesian
0.000 0.000 0.000
2.460 2.460 2.460
0.000 2.460 2.460
2.460 0.000 2.460
2.460 2.460 0.000
```


#ii
RbScPd3: relaxed, PBEsol.

Values from the calculation:
The density is 6.15 Mg/m³.

Structure (POSCAR):
```
RbScPd3
1.0
4.951 0.000 0.000
0.000 4.951 0.000
0.000 0.000 4.951
Rb Sc Pd
1 1 3
Cartesian
0.000 0.000 0.000
2.475 2.475 2.475
0.000 0.000 2.475
0.000 2.475 0.000
2.475 0.000 0.000
```


#i (102.6 kJ/mol of atoms below the next structure)


#i
Rb2TlPd: relaxed, PBEsol.

Values from the calculation:
The density is 4.22 Mg/m³.

Structure (POSCAR):
```
Rb2TlPd
1.0
-6.018 6.018 2.615
6.018 -6.018 2.615
6.018 6.018 -2.615
Rb Tl Pd
4 2 2
Cartesian
1.070 3.009 0.654
-3.009 4.947 1.961
-1.070 9.027 0.654
3.009 7.088 1.961
6.018 0.000 1.308
0.000 0.000 2.615
0.000 0.000 0.000
0.000 6.018 1.308
```


#ii
Rb2TlPd: relaxed, PBEsol.

Values from the calculation:
The density is 5.96 Mg/m³.

Structure (POSCAR):
```
Rb2TlPd
1.0
0.000 4.063 4.063
4.063 0.000 4.063
4.063 4.063 0.000
Rb Tl Pd
2 1 1
Cartesian
2.031 2.031 2.031
6.094 6.094 6.094
0.000 0.000 0.000
4.063 4.063 4.063
```


#i (26.8 kJ/mol of atoms below the next structure)


#i
Sc3PdRu: relaxed, PBEsol.

Values from the calculation:
The density is 5.03 Mg/m³.

Structure (POSCAR):
```
Sc3PdRu
1.0
4.835 0.000 0.000
0.000 4.835 0.000
0.000 0.000 4.835
Sc Pd Ru
3 1 1
Cartesian
0.000 0.000 2.417
0.000 2.417 0.000
2.417 0.000 0.000
0.000 0.000 0.000
2.417 2.417 2.417
```


#ii
Sc3PdRu: relaxed, PBEsol.

Values from the calculation:
The density is 5.03 Mg/m³.

Structure (POSCAR):
```
Sc3PdRu
1.0
4.833 0.000 0.000
0.000 4.833 0.000
0.000 0.000 4.833
Sc Pd Ru
3 1 1
Cartesian
0.000 0.000 2.417
0.000 2.417 0.000
2.417 0.000 0.000
2.417 2.417 2.417
0.000 0.000 0.000
```


#ii (41.2 kJ/mol of atoms below the next structure)


#i
TaTe3Pd: relaxed, PBEsol.

Values from the calculation:
The density is 7.48 Mg/m³.

Structure (POSCAR):
```
TaTe3Pd
1.0
5.298 0.000 0.000
0.000 5.298 0.000
0.000 0.000 5.298
Ta Te Pd
1 3 1
Cartesian
0.000 0.000 0.000
0.000 0.000 2.649
0.000 2.649 0.000
2.649 0.000 0.000
2.649 2.649 2.649
```


#ii
TaTe3Pd: relaxed, PBEsol.

Values from the calculation:
The density is 8.40 Mg/m³.

Structure (POSCAR):
```
TaTe3Pd
1.0
5.098 0.000 0.000
0.000 5.098 0.000
0.000 0.000 5.098
Ta Te Pd
1 3 1
Cartesian
0.000 0.000 0.000
0.000 2.549 2.549
2.549 0.000 2.549
2.549 2.549 0.000
2.549 2.549 2.549
```


#i (27.1 kJ/mol of atoms below the next structure)